DFT (GGA+U) results for a relaxed structure of Na2LiMnPCO7.

The magnetization is 0.38 μB/atom. The crystal system is triclinic. The calculation puts the total energy at -6.726 eV/atom.

a = 5.184 Å, b = 6.795 Å, c = 8.918 Å
α = 93.92°, β = 91.27°, γ = 90.35°
Site moments in Bohr magnetons follow the coordinates.
Atoms (fractional coordinates):
Na  0.252  0.284  0.087  0.00
Na  0.748  0.970  0.236  0.00
Na  0.255  0.516  0.748  0.00
Na  0.249  0.007  0.751  0.00
Li  0.778  0.436  0.298  0.00
Li  0.763  0.751  0.887  0.00
Mn  0.775  0.254  0.646  4.66
Mn  0.213  0.735  0.363  4.64
P  0.279  0.240  0.417  0.01
P  0.704  0.746  0.585  0.01
C  0.274  0.758  0.042  0.00
C  0.738  0.271  0.952  0.00
O  0.718  0.266  0.096  0.00
O  0.025  0.769  0.050  0.01
O  0.417  0.720  0.158  0.01
O  0.199  0.048  0.324  0.02
O  0.167  0.414  0.331  0.02
O  0.581  0.258  0.428  0.02
O  0.811  0.720  0.423  0.02
O  0.176  0.247  0.579  0.02
O  0.404  0.746  0.572  0.02
O  0.792  0.578  0.685  0.02
O  0.797  0.939  0.673  0.02
O  0.533  0.271  0.864  0.01
O  0.963  0.273  0.889  0.02
O  0.389  0.781  0.915  0.00